(1)
Density functional theory data (PBE) for crystalline Rb2SbIBr6 at its relaxed geometry.

a = 8.276 Å, b = 8.276 Å, c = 8.549 Å
α = 61.05°, β = 61.05°, γ = 90.00°
Positions (direct):
Br (0.281, 0.281, 0.438)
Br (0.731, 0.269, 0.000)
Br (0.269, 0.269, 0.000)
Br (0.719, 0.719, 0.562)
Br (0.731, 0.731, 0.000)
Rb (0.750, 0.250, 0.500)
Sb (0.500, 0.500, 0.000)
Br (0.269, 0.731, 0.000)
I (0.000, 0.000, 0.000)
Rb (0.250, 0.750, 0.500)

Results
Energy relative to the lowest polymorph listed for this composition in meV per atom: 0
Crystal system: tetragonal
Space-group type: I4/mmm, No. 139
Formation energy from raw total energies in eV per atom: -0.89

(2)
Density functional theory data (PBE) for crystalline MnFeSiBi2 at its relaxed geometry.

a = 5.146 Å, b = 4.569 Å, c = 5.146 Å
α = 90.00°, β = 90.00°, γ = 90.00°
Positions (direct):
Mn (0.000, 0.000, 0.000)
Fe (0.000, 0.500, 0.000)
Bi (0.500, 0.000, 0.000)
Si (0.500, 0.500, 0.500)
Bi (0.000, 0.000, 0.500)

Results
Crystal system: tetragonal
Space-group type: P4/mmm, No. 123
Formation energy from raw total energies in eV per atom: 1.00

(3)
Density functional theory data (PBE) for crystalline Ba2Zn4Cu5 at its relaxed geometry.

a = 5.156 Å, b = 7.200 Å, c = 7.292 Å
α = 69.26°, β = 69.30°, γ = 69.02°
Positions (direct):
Cu (0.289, 0.731, 0.178)
Zn (0.235, 0.446, 0.085)
Ba (0.302, 0.770, 0.627)
Zn (0.608, 0.938, 0.847)
Cu (0.198, 0.269, 0.822)
Zn (0.392, 0.062, 0.153)
Cu (0.000, 0.500, 0.500)
Ba (0.698, 0.230, 0.373)
Cu (0.802, 0.731, 0.178)
Cu (0.711, 0.269, 0.822)
Zn (0.765, 0.554, 0.915)

Results
Crystal system: monoclinic
Calculated formation energy in kcal/mol of atoms: -0.36
Space-group type: C2/m, No. 12

| no. | magnetization (μB per cell) | N(E_F) (states/eV/f.u.) | raw total energy (eV for the cell shown) |
| --- | --- | --- | --- |
| 1 | 0.0 | 0.9 | -26.6 |
| 2 | 5.6 | 5.8 | -25.8 |
| 3 | 0.0 | 4.3 | -29.6 |